(1)
TaZnCd2Hg (PBEsol, optimized geometry); ΔH_f (0 K) = 615 kJ/mol of formula units; energy = -2.14 eV/atom; M_tot = 1.6 μB per formula unit; SG = P4/mmm
1.0
5.2139 0.0000 0.0000
0.0000 5.4247 0.0000
0.0000 0.0000 5.4247
Hg Zn Ta Cd
1 1 1 2
Cartesian
2.6069 0.0000 0.0000 Hg
2.6069 2.7123 2.7123 Zn
0.0000 0.0000 0.0000 Ta
0.0000 0.0000 2.7123 Cd
0.0000 2.7123 0.0000 Cd

(2)
TcOs3 (PBEsol, optimized geometry); ΔE to the lowest computed polymorph = 3.19 eV/f.u.; ΔH_f (0 K) = 280 kJ/mol of formula units; energy = -11.25 eV/atom; M_tot = 0.0 μB per formula unit; SG = Fm-3m
1.0
4.3271 0.0000 0.0000
2.1636 3.7474 0.0000
2.1636 1.2491 3.5331
Os Tc
3 1
Cartesian
6.4907 3.7474 2.6498 Os
2.1636 1.2491 0.8833 Os
4.3271 2.4983 1.7665 Os
0.0000 0.0000 0.0000 Tc

(3)
KNiW2 (PBEsol, optimized geometry); ΔE to the lowest computed polymorph = 2.64 eV/f.u.; ΔH_f (0 K) = 592 kJ/mol of formula units; energy = -7.19 eV/atom; M_tot = 0.0 μB per formula unit; SG = Cmmm
1.0
-0.4556 -0.5465 -2.4989
-0.1688 -5.0566 1.1366
-4.8738 2.8797 0.2588
W K Ni
2 1 1
Cartesian
-2.5213 -1.0884 0.6977 W
-2.4369 1.4399 0.1294 W
-0.2278 -0.2733 -1.2495 K
-0.3122 -2.8016 -0.6811 Ni

Q: Which value of ΔH_f (0 K) does entry 1 give?
A: 615 kJ/mol of formula units